Computed, not measured: a relaxed structure of Fe2Cl3 at the PBE-GGA level of DFT.

The structure belongs to space group Fdd2 (No. 43); the cell edges are 10.349, 10.471 and 7.504 Å and the angles 90.00°, 90.00° and 90.00°. Symmetry generates all atoms from Fe at (0.037, 0.109, 0.000), Cl at (0.000, 0.000, 0.708) and Cl at (0.061, 0.185, 0.310).

The formation energy (no corrections) is -2.121 eV per formula unit. The value obtained for the calculated density is 3.6 g cm⁻³. The energy above the most stable polymorph in this dataset is 0.0 kJ/mol of atoms. For the magnetization, the calculation gives 56.00 Bohr magnetons per cell. For the raw total energy, the calculation gives -4.917 eV per atom.


Computed, not measured: a relaxed structure of Fe2Cl at the PBE-GGA level of DFT.

The structure belongs to space group P4/mmm (No. 123); the cell edges are 3.417, 3.417 and 4.307 Å and the angles 90.00°, 90.00° and 90.00°. Symmetry generates all atoms from Fe at (0.000, 0.500, 0.000) and Cl at (0.000, 0.000, 0.500).

The formation energy (no corrections) is 1.851 eV per formula unit. The value obtained for the calculated density is 4.9 g cm⁻³. The energy above the most stable polymorph in this dataset is 63.8 kJ/mol of atoms. For the magnetization, the calculation gives 5.92 Bohr magnetons per cell. For the raw total energy, the calculation gives -5.640 eV per atom.